# Na2MgInF

Na2MgInF after structural relaxation (PBE-GGA, the Alexandria database).

Lattice parameters (Å, degrees): 4.8446 4.8446 4.4568 90.00 90.00 90.00
Last column: nearest neighbours and their distance in Å.
Fractional positions:
Na1 0.0000 0.5000 0.0000  2 F 2.42
Na2 0.5000 0.0000 0.0000  2 F 2.42
Mg1 0.0000 0.0000 0.5000  2 F 2.23
F1 0.0000 0.0000 0.0000  2 Mg 2.23, 4 Na 2.42
In1 0.5000 0.5000 0.5000  8 Na 3.29, 4 Mg 3.43

## Properties
- volume (Å³/cell) = 104.6
- E_form (uncorrected) (eV per atom) = -0.978

=====

# Mg2NbInF

Mg2NbInF after structural relaxation (PBE-GGA, the Alexandria database).

Lattice parameters (Å, degrees): 5.6340 4.0474 5.6340 90.00 90.00 90.00
Last column: nearest neighbours and their distance in Å.
Fractional positions:
Nb1 0.0000 0.0000 0.0000  2 F 2.02
F1 0.0000 0.5000 0.0000  2 Nb 2.02
Mg1 0.0000 0.0000 0.5000  2 Nb 2.82
Mg2 0.5000 0.0000 0.0000  2 Nb 2.82
In1 0.5000 0.5000 0.5000  8 Mg 3.47

## Properties
- volume (Å³/cell) = 128.5
- E_form (uncorrected) (eV per atom) = -0.006

=====

> Among the records above, which one has the lowest E_form (uncorrected)?

Na2MgInF

=====

> Which of these has the lowest E_form (uncorrected)?

Na2MgInF

=====

> E_form (uncorrected) of number 2 (Mg2NbInF)?

-0.006 eV per atom

=====

> What is the volume in the first record?

104.6 Å³/cell